CrPtO2F, relaxed, DFT GGA+U; space-group type = P4/mmm, No. 123; D(E_F) = 0.797 states/eV per atom; raw total energy = -5.427 eV/atom
1.0
-1.027 0.472 3.784
-2.995 -2.525 -0.498
2.629 -3.340 1.130
Cr F Pt O
1 1 1 2
Cartesian
-0.696 -2.697 2.208
1.315 -1.670 0.565
0.000 0.000 0.000
-1.497 -1.263 -0.249
-0.513 0.236 1.892